Compound: AcLuSb2
Source: the Alexandria database
Functional: PBE
Structure: relaxed

```
4
Lattice="0.000 3.927 3.927 3.927 0.000 3.927 3.927 3.927 0.000" Properties=species:S:1:pos:R:3 pbc="T T T"
Ac 0.000 0.000 0.000
Lu 3.927 3.927 3.927
Sb 1.963 1.963 1.963
Sb 5.890 5.890 5.890
```

Output
The calculation puts the calculated total energy at -4.99 eV per atom. The total moment comes out at 0.00 μB per formula unit. The distance to the lowest polymorph of the same formula comes out at 316 meV/atom.

---

Compound: PmAgSnSb
Source: the Alexandria database
Functional: PBE
Structure: relaxed

```
4
Lattice="0.000 3.744 3.744 3.744 0.000 3.744 3.744 3.744 0.000" Properties=species:S:1:pos:R:3 pbc="T T T"
Pm 0.000 0.000 0.000
Ag 5.616 5.616 5.616
Sn 3.744 3.744 3.744
Sb 1.872 1.872 1.872
```

Output
The calculation puts the calculated total energy at -4.24 eV per atom. The total moment comes out at 0.00 μB per formula unit.